# 1
Computed, not measured: a relaxed structure of EuThHgRh at the PBE level of DFT.

Results
ΔE_f: -397 meV/atom
SG: F-43m, No. 216

Cell: 5.221 5.221 5.221 Å, 60.00 60.00 60.00°
Atoms (fractional coordinates):
Eu 0.250 0.250 0.250
Rh 0.000 0.000 0.000
Hg 0.500 0.500 0.500
Th 0.750 0.750 0.750

# 2
Computed, not measured: a relaxed structure of BeAg2Ir at the PBE level of DFT.

Results
ΔE_f: -35 meV/atom
SG: Pmm2, No. 25

Cell: 2.886 2.859 7.649 Å, 68.08 90.00 90.00°
Atoms (fractional coordinates):
Be 0.000 0.461 0.538
Ir 0.500 0.809 0.691
Ag 0.000 0.015 0.985
Ag 0.500 0.214 0.286

# 3
Computed, not measured: a relaxed structure of BaNa3Bi3 at the PBE level of DFT.

Results
ΔE_f: -271 meV/atom
energy above the lowest structure with this stoichiometry: 0.1123 eV per atom
SG: R-3, No. 148

Cell: 10.185 10.185 8.533 Å, 53.36 53.36 60.00°
Atoms (fractional coordinates):
Ba 0.364 0.364 0.907
Ba 0.636 0.636 0.093
Na 0.343 0.907 0.576
Na 0.907 0.174 0.576
Na 0.174 0.343 0.576
Na 0.826 0.657 0.424
Na 0.093 0.826 0.424
Na 0.657 0.093 0.424
Bi 0.245 0.660 0.095
Bi 0.000 0.245 0.095
Bi 0.660 0.000 0.095
Bi 0.340 0.000 0.905
Bi 0.000 0.755 0.905
Bi 0.755 0.340 0.905

# 4
Computed, not measured: a relaxed structure of Cs3ScBi2Se6 at the PBE level of DFT.

Results
uncorrected formation energy: -12.52 eV/f.u.
SG: C2/m, No. 12

Cell: 7.443 7.443 8.681 Å, 98.21 98.21 119.97°
Atoms (fractional coordinates):
Cs 0.172 0.828 0.500
Cs 0.828 0.172 0.500
Cs 0.500 0.500 0.500
Sc 0.000 0.000 0.000
Bi 0.334 0.666 0.000
Bi 0.666 0.334 0.000
Se 0.939 0.625 0.815
Se 0.749 0.749 0.187
Se 0.061 0.375 0.185
Se 0.625 0.939 0.815
Se 0.251 0.251 0.813
Se 0.375 0.061 0.185

# 5
Computed, not measured: a relaxed structure of TbBePdN at the PBE level of DFT.

Results
uncorrected formation energy: -4.29 eV/f.u.
SG: P4/nmm, No. 129

Cell: 3.719 3.719 8.101 Å, 90.00 90.00 90.00°
Atoms (fractional coordinates):
Tb 0.000 0.500 0.849
Tb 0.500 0.000 0.151
Be 0.000 0.500 0.329
Be 0.500 0.000 0.671
Pd 0.000 0.000 0.500
Pd 0.500 0.500 0.500
N 0.500 0.000 0.869
N 0.000 0.500 0.131

# 6
Computed, not measured: a relaxed structure of Sm3Ho2TmTe6 at the PBE level of DFT.

Results
uncorrected formation energy: -15.67 eV/f.u.
SG: C2/m, No. 12

Cell: 4.345 8.852 9.847 Å, 104.22 102.75 90.00°
Atoms (fractional coordinates):
Sm 0.500 0.500 0.000
Sm 0.832 0.166 0.664
Sm 0.168 0.834 0.336
Ho 0.832 0.665 0.665
Ho 0.168 0.335 0.335
Tm 0.500 0.000 0.000
Te 0.337 0.912 0.674
Te 0.668 0.578 0.337
Te 0.663 0.088 0.326
Te 0.002 0.242 0.004
Te 0.998 0.758 0.996
Te 0.332 0.422 0.663

# 7
Computed, not measured: a relaxed structure of LiScP2O at the PBE level of DFT.

Results
uncorrected formation energy: -2.11 eV/f.u.
energy above the lowest structure with this stoichiometry: 0.0000 eV per atom
SG: P4/mmm, No. 123

Cell: 5.244 5.244 3.846 Å, 90.00 90.00 90.00°
Atoms (fractional coordinates):
Sc 0.000 0.000 0.000
P 0.000 0.500 0.000
P 0.500 0.000 0.000
O 0.000 0.000 0.500
Li 0.500 0.500 0.500

# 8
Computed, not measured: a relaxed structure of Tm4ScPb2 at the PBE level of DFT.

Results
ΔE_f: -145 meV/atom
energy above the lowest structure with this stoichiometry: 0.0779 eV per atom
SG: P-1, No. 2

Cell: 7.810 9.548 9.457 Å, 140.37 91.01 104.59°
Atoms (fractional coordinates):
Tm 0.908 0.110 0.223
Tm 0.342 0.568 0.205
Tm 0.889 0.579 0.730
Tm 0.880 0.067 0.799
Tm 0.332 0.985 0.232
Tm 0.361 0.099 0.699
Tm 0.370 0.611 0.630
Tm 0.918 0.693 0.196
Sc 0.033 0.610 0.435
Sc 0.217 0.068 0.993
Pb 0.568 0.608 0.929
Pb 0.682 0.070 0.500
Pb 0.625 0.339 0.214
Pb 0.125 0.339 0.714